Material: HoSF
Method: DFT, GGA-PBE
State: optimized geometry

Values from the calculation:
formation energy without anion corrections = -8.428 eV per formula unit
spin magnetization = 0.00 μB/f.u.
ρ = 6214 kg/m³
calculated total energy = -6.335 eV/atom

Geometry as CIF:
```
data_HoSF
_symmetry_space_group_name_H-M 'F -4 3 m'
_symmetry_Int_Tables_number 216
_symmetry_space_group_name_Hall 'F -4 2 3'
_cell_length_a 6.135
_cell_length_b 6.135
_cell_length_c 6.135
_cell_angle_alpha 90.00
_cell_angle_beta 90.00
_cell_angle_gamma 90.00
loop_
_atom_site_label
_atom_site_type_symbol
_atom_site_fract_x
_atom_site_fract_y
_atom_site_fract_z
Ho1 Ho 0.000 0.000 0.000
S1 S 0.250 0.250 0.250
F1 F 0.250 0.250 0.750
```

=====

Material: HoSF
Method: DFT, GGA-PBE
State: optimized geometry

Values from the calculation:
formation energy without anion corrections = -8.833 eV per formula unit
spin magnetization = 0.00 μB/f.u.
ρ = 7118 kg/m³
calculated total energy = -6.470 eV/atom

Geometry as CIF:
```
data_HoSF
_symmetry_space_group_name_H-M 'P -6 m 2'
_symmetry_Int_Tables_number 187
_symmetry_space_group_name_Hall 'P -6 2'
_cell_length_a 3.9043
_cell_length_b 3.9043
_cell_length_c 3.8170
_cell_angle_alpha 90.00
_cell_angle_beta 90.00
_cell_angle_gamma 120.00
loop_
_atom_site_label
_atom_site_type_symbol
_atom_site_fract_x
_atom_site_fract_y
_atom_site_fract_z
Ho1 Ho 0.0000 0.0000 0.0000
S1 S 0.6667 0.3333 0.5000
F1 F 0.3333 0.6667 0.0000
```

=====

> Which of these has the lowest ρ?

number 1

=====

Copy entry 2 word for word.
Material: HoSF
Method: DFT, GGA-PBE
State: optimized geometry

Values from the calculation:
formation energy without anion corrections = -8.833 eV per formula unit
spin magnetization = 0.00 μB/f.u.
ρ = 7118 kg/m³
calculated total energy = -6.470 eV/atom

Geometry as CIF:
```
data_HoSF
_symmetry_space_group_name_H-M 'P -6 m 2'
_symmetry_Int_Tables_number 187
_symmetry_space_group_name_Hall 'P -6 2'
_cell_length_a 3.9043
_cell_length_b 3.9043
_cell_length_c 3.8170
_cell_angle_alpha 90.00
_cell_angle_beta 90.00
_cell_angle_gamma 120.00
loop_
_atom_site_label
_atom_site_type_symbol
_atom_site_fract_x
_atom_site_fract_y
_atom_site_fract_z
Ho1 Ho 0.0000 0.0000 0.0000
S1 S 0.6667 0.3333 0.5000
F1 F 0.3333 0.6667 0.0000
```